[1]
# LuPdRhAu PBE relaxed
data_LuPdRhAu
_cell_length_a 6.554
_cell_length_b 6.554
_cell_length_c 6.554
_cell_angle_alpha 90.00
_cell_angle_beta 90.00
_cell_angle_gamma 90.00
_symmetry_space_group_name_H-M 'F -4 3 m'
_symmetry_Int_Tables_number 216
_symmetry_space_group_name_Hall 'F -4 2 3'
loop_
_atom_site_label
_atom_site_type_symbol
_atom_site_fract_x
_atom_site_fract_y
_atom_site_fract_z
Lu1 Lu 0.000 0.000 0.000
Pd1 Pd 0.250 0.250 0.750
Rh1 Rh 0.250 0.250 0.250
Au1 Au 0.000 0.000 0.500
# VASP energy: -92.15 eV per cell
# volume: 17.6 Å³/atom
# density of states at the Fermi level: 1.3 states/eV/f.u.
# energy relative to the elements: -0.674 eV per atom



[2]
# LuSbPdAu PBE relaxed
data_LuSbPdAu
_cell_length_a 6.884
_cell_length_b 6.884
_cell_length_c 6.884
_cell_angle_alpha 90.00
_cell_angle_beta 90.00
_cell_angle_gamma 90.00
_symmetry_space_group_name_H-M 'F -4 3 m'
_symmetry_Int_Tables_number 216
_symmetry_space_group_name_Hall 'F -4 2 3'
loop_
_atom_site_label
_atom_site_type_symbol
_atom_site_fract_x
_atom_site_fract_y
_atom_site_fract_z
Lu1 Lu 0.000 0.000 0.000
Sb1 Sb 0.000 0.000 0.500
Pd1 Pd 0.250 0.250 0.750
Au1 Au 0.250 0.250 0.250
# formation energy (no corrections): -0.67 eV per atom
# VASP energy: -79.17 eV per cell
# volume: 20.4 Å³/atom
# density of states at the Fermi level: 2.5 states/eV/f.u.



[3]
# SmLuPdAu PBE relaxed
data_SmLuPdAu
_cell_length_a 7.120
_cell_length_b 7.120
_cell_length_c 7.120
_cell_angle_alpha 90.00
_cell_angle_beta 90.00
_cell_angle_gamma 90.00
_symmetry_space_group_name_H-M 'F -4 3 m'
_symmetry_Int_Tables_number 216
_symmetry_space_group_name_Hall 'F -4 2 3'
loop_
_atom_site_label
_atom_site_type_symbol
_atom_site_fract_x
_atom_site_fract_y
_atom_site_fract_z
Sm1 Sm 0.000 0.000 0.000
Lu1 Lu 0.000 0.000 0.500
Pd1 Pd 0.250 0.250 0.750
Au1 Au 0.250 0.250 0.250
# VASP energy: -84.34 eV per cell
# volume: 22.6 Å³/atom
# density of states at the Fermi level: 3.1 states/eV/f.u.
# energy relative to the elements: -0.844 eV per atom



[4]
# LuSnPdAu PBE relaxed
data_LuSnPdAu
_cell_length_a 6.830
_cell_length_b 6.830
_cell_length_c 6.830
_cell_angle_alpha 90.00
_cell_angle_beta 90.00
_cell_angle_gamma 90.00
_symmetry_space_group_name_H-M 'F -4 3 m'
_symmetry_Int_Tables_number 216
_symmetry_space_group_name_Hall 'F -4 2 3'
loop_
_atom_site_label
_atom_site_type_symbol
_atom_site_fract_x
_atom_site_fract_y
_atom_site_fract_z
Lu1 Lu 0.000 0.000 0.000
Sn1 Sn 0.000 0.000 0.500
Pd1 Pd 0.250 0.250 0.750
Au1 Au 0.250 0.250 0.250
# VASP energy: -79.95 eV per cell
# volume: 19.9 Å³/atom
# density of states at the Fermi level: 2.6 states/eV/f.u.
# energy relative to the elements: -0.748 eV per atom



[5]
# LuTiPdAu PBE relaxed
data_LuTiPdAu
_cell_length_a 6.721
_cell_length_b 6.721
_cell_length_c 6.721
_cell_angle_alpha 90.00
_cell_angle_beta 90.00
_cell_angle_gamma 90.00
_symmetry_space_group_name_H-M 'F -4 3 m'
_symmetry_Int_Tables_number 216
_symmetry_space_group_name_Hall 'F -4 2 3'
loop_
_atom_site_label
_atom_site_type_symbol
_atom_site_fract_x
_atom_site_fract_y
_atom_site_fract_z
Lu1 Lu 0.000 0.000 0.000
Ti1 Ti 0.000 0.000 0.500
Pd1 Pd 0.250 0.250 0.250
Au1 Au 0.250 0.250 0.750
# VASP energy: -92.84 eV per cell
# volume: 19.0 Å³/atom
# density of states at the Fermi level: 4.9 states/eV/f.u.
# energy relative to the elements: -0.581 eV per atom



[6]
# LuTlPdAu PBE relaxed
data_LuTlPdAu
_cell_length_a 6.888
_cell_length_b 6.888
_cell_length_c 6.888
_cell_angle_alpha 90.00
_cell_angle_beta 90.00
_cell_angle_gamma 90.00
_symmetry_space_group_name_H-M 'F -4 3 m'
_symmetry_Int_Tables_number 216
_symmetry_space_group_name_Hall 'F -4 2 3'
loop_
_atom_site_label
_atom_site_type_symbol
_atom_site_fract_x
_atom_site_fract_y
_atom_site_fract_z
Lu1 Lu 0.000 0.000 0.000
Tl1 Tl 0.000 0.000 0.500
Pd1 Pd 0.250 0.250 0.750
Au1 Au 0.250 0.250 0.250
# VASP energy: -70.60 eV per cell
# volume: 20.4 Å³/atom
# density of states at the Fermi level: 2.2 states/eV/f.u.
# energy relative to the elements: -0.573 eV per atom